Density functional theory data (PBE) for an optimized crystal structure of Pm2Ag3Ge.

DFT total energy: -50.1 eV/cell
Formation energy: -38 kJ/mol of atoms
Space group: Fmmm

abc: 5.9535 5.9535 9.3413
angles: 113.10 113.10 76.63
Fractional positions:
Ag (0.1703, 0.1703, 0.8302)
Ag (0.6599, 0.6599, 0.8302)
Ag (0.8297, 0.8297, 0.1698)
Ag (0.8293, 0.8293, 0.6586)
Ag (0.1707, 0.1707, 0.3414)
Ag (0.3401, 0.3401, 0.1698)
Pm (0.2418, 0.7582, 0.0000)
Pm (0.2500, 0.7500, 0.5000)
Pm (0.7582, 0.2418, 0.0000)
Pm (0.7500, 0.2500, 0.5000)
Ge (0.6645, 0.6645, 0.3291)
Ge (0.3355, 0.3355, 0.6709)